# TbDyHgPt GGA-PBE optimized geometry
data_TbDyHgPt
_symmetry_space_group_name_H-M 'P 1'
_symmetry_Int_Tables_number 1
_symmetry_space_group_name_Hall 'P 1'
_cell_length_a 5.102
_cell_length_b 5.102
_cell_length_c 5.102
_cell_angle_alpha 60.00
_cell_angle_beta 60.00
_cell_angle_gamma 60.00
loop_
_atom_site_label
_atom_site_fract_x
_atom_site_fract_y
_atom_site_fract_z
Tb1 0.000 0.000 0.000
Dy1 0.500 0.500 0.500
Pt1 0.750 0.750 0.750
Hg1 0.250 0.250 0.250
# Calculated volume   23.48 A^3/atom
# Mass density   12.68 Mg/m³
# Energy above the most stable polymorph in this dataset   1.09 kcal/mol of atoms

# NdAs4 GGA-PBE optimized geometry
data_NdAs4
_symmetry_space_group_name_H-M 'P 1'
_symmetry_Int_Tables_number 1
_symmetry_space_group_name_Hall 'P 1'
_cell_length_a 5.548
_cell_length_b 5.548
_cell_length_c 5.548
_cell_angle_alpha 90.00
_cell_angle_beta 90.00
_cell_angle_gamma 90.00
loop_
_atom_site_label
_atom_site_fract_x
_atom_site_fract_y
_atom_site_fract_z
As1 0.000 0.500 0.500
As2 0.500 0.000 0.500
Nd1 0.500 0.500 0.500
As3 0.500 0.500 0.000
As4 0.000 0.000 0.000
# Calculated volume   34.15 A^3/atom
# Mass density   4.32 Mg/m³
# Calculated total energy   -0.1375 hartree per atom

# Ho2U2Fe3 GGA-PBE optimized geometry
data_Ho2U2Fe3
_symmetry_space_group_name_H-M 'P 1'
_symmetry_Int_Tables_number 1
_symmetry_space_group_name_Hall 'P 1'
_cell_length_a 4.407
_cell_length_b 5.268
_cell_length_c 8.080
_cell_angle_alpha 104.57
_cell_angle_beta 79.77
_cell_angle_gamma 130.37
loop_
_atom_site_label
_atom_site_fract_x
_atom_site_fract_y
_atom_site_fract_z
Fe1 0.231 0.444 0.784
Ho1 0.949 0.763 0.611
Fe2 0.000 0.000 0.000
Ho2 0.051 0.237 0.389
Fe3 0.769 0.556 0.216
U1 0.362 0.778 0.127
U2 0.638 0.222 0.873
# Calculated volume   19.75 A^3/atom
# Mass density   11.69 Mg/m³
# Calculated total energy   -0.2997 hartree per atom

| no. | total moment (μB/atom) |
| --- | --- |
| 1 | 0.000 |
| 2 | 0.152 |
| 3 | 0.000 |